Rb5SiAs3: optimized geometry, GGA-PBE.

Output
DOS(E_F): 0.5 states/eV per cell
energy: -3.09 eV/atom
energy relative to the elements, uncorrected: -0.401 eV/atom

Structure (POSCAR):
```
Rb5SiAs3
1.0
-1.5491 0.5382 5.4764
-9.6848 -10.5396 -1.7036
10.9188 -10.7026 4.1403
Rb As Si
20 12 4
Cartesian
3.2691 -6.9434 6.0827 Rb
3.0387 -16.7338 6.9797 Rb
6.1779 -7.3467 3.9614 Rb
-3.8870 -5.8953 3.9555 Rb
9.2483 -10.6544 5.1550 Rb
-5.8216 -9.5152 3.7641 Rb
-6.4929 -13.3573 3.9518 Rb
-3.5842 -13.7606 1.8304 Rb
2.5229 -10.9660 6.2670 Rb
-9.5634 -10.0495 2.7582 Rb
5.5066 -11.1887 4.1491 Rb
0.2133 -11.8146 2.7133 Rb
-2.8380 -9.7379 1.6462 Rb
3.5719 -14.8087 3.9576 Rb
-3.3537 -3.9702 0.9334 Rb
-0.1079 -15.7018 3.0045 Rb
0.4968 -2.9904 1.9263 Rb
-0.8118 -17.7136 5.9868 Rb
-0.2071 -5.0022 4.9086 Rb
-0.5283 -8.8894 5.1998 Rb
-6.7067 -11.0041 0.6763 As
1.9670 -18.4598 3.8625 As
4.8428 -13.4566 7.1680 As
-0.5253 -7.0467 2.0358 As
6.3916 -9.6998 7.2368 As
2.7315 -9.1928 3.1679 As
-5.1578 -7.2474 0.7452 As
0.2103 -13.6572 5.8773 As
-3.0465 -11.5112 4.7452 As
3.0262 -5.2530 2.8641 As
-3.3412 -15.4509 5.0490 As
-2.2820 -2.2442 4.0507 As
-2.0297 -13.5414 5.2323 Si
6.6206 -12.0041 7.5281 Si
-6.9356 -8.6998 0.3851 Si
1.7147 -7.1625 2.6808 Si
```